Fe2NiMo PBE relaxed; D(E_F) = 3.584 states/eV per cell; total moment = 1.33 μB per atom; volume = 12.66 A^3/atom; symmetry = No. 99; formation enthalpy at 0 K = 79 meV per atom
1.0
2.5662 0.0000 0.0000
0.0000 2.5662 0.0000
0.0000 0.0000 7.6870
Fe Ni Mo
2 1 1
Direct
0.0000 0.0000 0.0000
0.5000 0.5000 0.2444
0.5000 0.5000 0.7730
0.0000 0.0000 0.5177